Record 1
# Ho2Te4O11, relaxed, DFT PBE-GGA
data_Ho2Te4O11
_chemical_formula_sum 'Ho8 Te16 O44'
_space_group_name_H-M_alt 'C 1 2/c 1'
_space_group_IT_number 15
_cell_length_a 12.454
_cell_length_b 5.160
_cell_length_c 16.355
_cell_angle_alpha 90.00
_cell_angle_beta 104.97
_cell_angle_gamma 90.00
loop_
_space_group_symop_operation_xyz
'x,y,z'
'-x,-y,-z'
'-x,y,-z+1/2'
'x,-y,z+1/2'
'x+1/2,y+1/2,z'
'-x+1/2,-y+1/2,-z'
'-x+1/2,y+1/2,-z+1/2'
'x+1/2,-y+1/2,z+1/2'
loop_
_atom_site_label
_atom_site_type_symbol
_atom_site_fract_x
_atom_site_fract_y
_atom_site_fract_z
_atom_site_occupancy
Ho1 Ho 0.119 0.248 0.037 1
Te1 Te 0.121 0.282 0.697 1
Te2 Te 0.129 0.283 0.376 1
O1 O 0.000 0.149 0.750 1
O2 O 0.023 0.425 0.596 1
O3 O 0.069 0.105 0.455 1
O4 O 0.149 0.055 0.166 1
O5 O 0.208 0.455 0.949 1
O6 O 0.246 0.439 0.626 1
# E_tot   -6.34 eV per atom
# Calculated density   6.648 Mg/m³
# E_form (uncorrected)   -1854 meV per atom

=====

Record 2
# SrZrMn, relaxed, DFT PBE-GGA
data_SrZrMn
_chemical_formula_sum 'Sr4 Zr4 Mn4'
_space_group_name_H-M_alt 'F -4 3 m'
_space_group_IT_number 216
_space_group_name_Hall 'F -4 2 3'
_cell_length_a 7.123
_cell_length_b 7.123
_cell_length_c 7.123
_cell_angle_alpha 90.00
_cell_angle_beta 90.00
_cell_angle_gamma 90.00
loop_
_atom_site_label
_atom_site_type_symbol
_atom_site_fract_x
_atom_site_fract_y
_atom_site_fract_z
_atom_site_occupancy
Sr1 Sr 0.000 0.000 0.000 1
Zr1 Zr 0.250 0.250 0.750 1
Mn1 Mn 0.250 0.250 0.250 1
# E_tot   -4.86 eV per atom
# Calculated density   4.297 Mg/m³
# Distance to the lowest polymorph of the same formula   1.214 eV/atom
# Energy of formation from the pure elements   4.82 eV/f.u.